Entry 1:
Compound: SbTe2IN
Source: Alexandria via LeMat-Bulk
Functional: PBE
Structure: optimized geometry

Calculated values
Calculated total energy in eV/cell: -16.271
Energy above the most stable polymorph in this dataset in meV per atom: 2.0
Space group: P4/mmm
Formation energy (no corrections) in eV/atom: 0.802
M_tot in μB per cell: 0.00

Cell lengths 4.7486, 4.7486, 5.4657 Å; angles 90.00, 90.00, 90.00 degrees
Sites, in units of the cell vectors:
Te 0.5000 0.0000 0.0000
Te 0.0000 0.5000 0.0000
I 0.5000 0.5000 0.5000
N 0.0000 0.0000 0.0000
Sb 0.0000 0.0000 0.5000

Entry 2:
Compound: ErScGe
Source: Alexandria via LeMat-Bulk
Functional: PBE
Structure: optimized geometry

Calculated values
Calculated total energy in eV/cell: -102.391
Energy above the most stable polymorph in this dataset in meV per atom: 192.7
Space group: Amm2
ΔH_f (0 K) in eV/atom: -0.518
M_tot in μB per cell: 0.00

Cell lengths 8.6147, 8.6147, 6.1721 Å; angles 90.00, 90.00, 115.83 degrees
Sites, in units of the cell vectors:
Ge 0.0039 0.4078 0.0000
Ge 0.4078 0.0039 0.0000
Ge 0.5916 0.5916 0.0000
Ge 0.9792 0.9792 0.2955
Ge 0.9792 0.9792 0.7045
Ge 0.3818 0.3818 0.5000
Er 0.0020 0.7416 0.0000
Er 0.2980 0.0235 0.5000
Er 0.0235 0.2980 0.5000
Er 0.2495 0.2495 0.0000
Er 0.6928 0.6928 0.5000
Er 0.7416 0.0020 0.0000
Sc 0.0041 0.6498 0.5000
Sc 0.6570 0.3420 0.7486
Sc 0.3420 0.6570 0.2514
Sc 0.3420 0.6570 0.7486
Sc 0.6570 0.3420 0.2514
Sc 0.6498 0.0041 0.5000

Entry 3:
Compound: Ce5Ge2Bi2
Source: Alexandria via LeMat-Bulk
Functional: PBE
Structure: optimized geometry

Calculated values
Calculated total energy in eV/cell: -106.001
Space group: Cmce
ΔH_f (0 K) in eV/atom: -0.704
M_tot in μB per cell: 11.49

Cell lengths 8.1310, 8.1338, 8.8909 Å; angles 117.22, 90.00, 90.00 degrees
Sites, in units of the cell vectors:
Ge 0.6261 0.8749 0.0000
Ge 0.8739 0.3749 0.0000
Ge 0.3739 0.1251 0.0000
Ge 0.1261 0.6251 0.0000
Ce 0.1745 0.2001 0.7495
Ce 0.8255 0.5494 0.7495
Ce 0.3255 0.9506 0.2505
Ce 0.3255 0.7001 0.7495
Ce 0.8255 0.7999 0.2505
Ce 0.5000 0.5000 0.0000
Ce 0.6745 0.2999 0.2505
Ce 0.6745 0.0494 0.7495
Ce 0.1745 0.4506 0.2505
Ce 0.0000 0.0000 0.0000
Bi 0.0000 0.2116 0.4232
Bi 0.5000 0.2884 0.5768
Bi 0.5000 0.7116 0.4232
Bi 0.0000 0.7884 0.5768

Entry 4:
Compound: La4AlBr
Source: Alexandria via LeMat-Bulk
Functional: PBE
Structure: optimized geometry

Calculated values
Calculated total energy in eV/cell: -24.470
Space group: F-43m
Formation energy (no corrections) in eV/atom: 0.109
M_tot in μB per cell: 0.00

Cell lengths 6.4937, 6.4937, 6.4937 Å; angles 60.00, 60.00, 60.00 degrees
Sites, in units of the cell vectors:
La 0.3783 0.3783 0.8652
La 0.3783 0.8652 0.3783
La 0.8652 0.3783 0.3783
La 0.3783 0.3783 0.3783
Al 0.7500 0.7500 0.7500
Br 0.0000 0.0000 0.0000

Entry 5:
Compound: Pm8Cd3Co2
Source: Alexandria via LeMat-Bulk
Functional: PBE
Structure: optimized geometry

Calculated values
Calculated total energy in eV/cell: -55.572
Space group: C2/m
ΔH_f (0 K) in eV/atom: -0.047
M_tot in μB per cell: 0.00

Cell lengths 3.7955, 10.5630, 10.3769 Å; angles 120.60, 94.59, 90.00 degrees
Sites, in units of the cell vectors:
Pm 0.2784 0.5351 0.6548
Pm 0.8217 0.8364 0.6729
Pm 0.7216 0.8804 0.3452
Pm 0.1783 0.1636 0.3271
Pm 0.7216 0.4649 0.3452
Pm 0.7463 0.4259 0.8518
Pm 0.2537 0.5741 0.1482
Pm 0.2784 0.1196 0.6548
Cd 0.0000 0.2264 0.0000
Cd 0.0000 0.7736 0.0000
Cd 0.5000 0.0000 0.0000
Co 0.7522 0.2751 0.5502
Co 0.2478 0.7249 0.4498

Entry 6:
Compound: PmEr5
Source: Alexandria via LeMat-Bulk
Functional: PBE
Structure: optimized geometry

Calculated values
Calculated total energy in eV/cell: -27.429
Space group: Cmmm
ΔH_f (0 K) in eV/atom: 0.023
M_tot in μB per cell: 0.00

Cell lengths 4.9956, 4.9895, 7.8896 Å; angles 108.43, 90.00, 90.00 degrees
Sites, in units of the cell vectors:
Er 0.0000 0.3322 0.6643
Er 0.5000 0.1672 0.3345
Er 0.5000 0.8328 0.6655
Er 0.5000 0.5000 0.0000
Er 0.0000 0.6678 0.3357
Pm 0.0000 0.0000 0.0000

Entry 7:
Compound: Cs2NdCu2Te4
Source: Alexandria via LeMat-Bulk
Functional: PBE
Structure: optimized geometry

Calculated values
Calculated total energy in eV/cell: -34.842
Space group: C2/m
Formation energy (no corrections) in eV/atom: -0.845
M_tot in μB per cell: 0.00

Cell lengths 4.4146, 9.1130, 8.5204 Å; angles 107.27, 105.01, 90.00 degrees
Sites, in units of the cell vectors:
Te 0.4767 0.2315 0.9534
Te 0.2025 0.1563 0.4050
Te 0.7975 0.8437 0.5950
Te 0.5233 0.7685 0.0466
Nd 0.0000 0.0000 0.0000
Cu 0.3256 0.0169 0.6512
Cu 0.6744 0.9831 0.3488
Cs 0.8645 0.4460 0.7290
Cs 0.1355 0.5540 0.2710

Entry 8:
Compound: Tl2PdIBr6
Source: Alexandria via LeMat-Bulk
Functional: PBE
Structure: optimized geometry

Calculated values
Calculated total energy in eV/cell: -51.623
Space group: P2_1/c
Formation energy (no corrections) in eV/atom: -0.430
M_tot in μB per cell: 0.00

Cell lengths 7.8163, 7.8196, 12.2040 Å; angles 90.00, 81.83, 90.00 degrees
Sites, in units of the cell vectors:
Pd 0.5000 0.0000 0.5000
Pd 0.0000 0.5000 0.0000
I 0.0000 0.5000 0.5000
I 0.5000 0.0000 0.0000
Br 0.0528 0.4937 0.7925
Br 0.7534 0.2170 0.5054
Br 0.2796 0.2469 0.4965
Br 0.2534 0.2830 0.0054
Br 0.9472 0.5063 0.2075
Br 0.2204 0.7469 0.0035
Br 0.7466 0.7170 0.9946
Br 0.7796 0.2531 0.9965
Br 0.4472 0.9937 0.7075
Br 0.7204 0.7531 0.5035
Br 0.2466 0.7830 0.4946
Br 0.5528 0.0063 0.2925
Tl 0.4599 0.5699 0.7949
Tl 0.5401 0.4301 0.2051
Tl 0.9599 0.9301 0.2949
Tl 0.0401 0.0699 0.7051

Entry 9:
Compound: TbU3Tl4Se8
Source: Alexandria via LeMat-Bulk
Functional: PBE
Structure: optimized geometry

Calculated values
Calculated total energy in eV/cell: -91.767
Space group: R-3m
Formation energy (no corrections) in eV/atom: -0.996
M_tot in μB per cell: 9.00

Cell lengths 8.3623, 9.2255, 8.3624 Å; angles 116.97, 120.00, 90.00 degrees
Sites, in units of the cell vectors:
Se 0.2641 0.2943 0.0291
Se 0.2351 0.7057 0.9709
Se 0.7649 0.2943 0.0291
Se 0.7353 0.7057 0.4705
Se 0.2350 0.7057 0.4700
Se 0.2647 0.2943 0.5295
Se 0.7359 0.7057 0.9709
Se 0.7650 0.2943 0.5300
U 0.0000 0.5000 0.5000
U 0.5000 0.5000 0.5000
U 0.5000 0.5000 0.0000
Tl 0.0000 0.0000 0.5000
Tl 0.5000 0.0000 0.0000
Tl 0.0000 0.0000 0.0000
Tl 0.5000 0.0000 0.5000
Tb 0.0000 0.5000 0.0000

Entry 10:
Compound: Nd3Dy5O12
Source: Alexandria via LeMat-Bulk
Functional: PBE
Structure: optimized geometry

Calculated values
Calculated total energy in eV/cell: -654.686
Space group: Ia-3d
Formation energy (no corrections) in eV/atom: -3.343
M_tot in μB per cell: 0.00

Cell lengths 11.8409, 11.8409, 11.8409 Å; angles 109.47, 109.47, 109.47 degrees
Sites, in units of the cell vectors:
O 0.9136 0.8249 0.7836
O 0.7164 0.1300 0.0413
O 0.3700 0.9587 0.7836
O 0.4587 0.6751 0.0886
O 0.4136 0.1300 0.5886
O 0.7164 0.5864 0.1751
O 0.6751 0.2164 0.5864
O 0.7836 0.3249 0.9136
O 0.6300 0.5886 0.9136
O 0.0864 0.1751 0.2164
O 0.1751 0.0886 0.9587
O 0.0413 0.4114 0.8249
O 0.1300 0.4136 0.0886
O 0.9114 0.8249 0.5413
O 0.5886 0.9587 0.6751
O 0.9114 0.0864 0.8700
O 0.0864 0.9114 0.3700
O 0.6751 0.4587 0.5886
O 0.3700 0.4114 0.0864
O 0.5864 0.8700 0.4114
O 0.1300 0.7164 0.5413
O 0.5413 0.3249 0.9114
O 0.9587 0.3700 0.2836
O 0.0886 0.9136 0.1300
O 0.8249 0.9136 0.2836
O 0.5886 0.6300 0.4136
O 0.3249 0.7836 0.4136
O 0.9587 0.5886 0.1751
O 0.0886 0.1751 0.4587
O 0.8249 0.9114 0.0413
O 0.4136 0.2836 0.3249
O 0.6300 0.0413 0.2164
O 0.2164 0.6751 0.0864
O 0.4114 0.3700 0.5864
O 0.1751 0.0864 0.7164
O 0.4114 0.0413 0.3249
O 0.5864 0.7164 0.6751
O 0.2164 0.5413 0.6300
O 0.5413 0.2164 0.1300
O 0.7836 0.4587 0.3700
O 0.9136 0.0886 0.6300
O 0.8700 0.5864 0.9114
O 0.4587 0.7836 0.8700
O 0.2836 0.4136 0.8249
O 0.2836 0.8700 0.9587
O 0.3249 0.5413 0.4114
O 0.0413 0.6300 0.7164
O 0.8700 0.2836 0.4587
Dy 0.3750 0.1250 0.7500
Dy 0.5000 0.5000 0.5000
Dy 0.1250 0.7500 0.3750
Dy 0.1250 0.3750 0.2500
Dy 0.7500 0.1250 0.8750
Dy 0.6250 0.7500 0.8750
Dy 0.0000 0.5000 0.0000
Dy 0.5000 0.0000 0.0000
Dy 0.2500 0.8750 0.1250
Dy 0.2500 0.3750 0.6250
Dy 0.7500 0.6250 0.3750
Dy 0.0000 0.0000 0.5000
Dy 0.6250 0.8750 0.2500
Dy 0.3750 0.2500 0.1250
Dy 0.8750 0.2500 0.6250
Dy 0.0000 0.0000 0.0000
Dy 0.8750 0.6250 0.7500
Dy 0.5000 0.5000 0.0000
Dy 0.5000 0.0000 0.5000
Dy 0.0000 0.5000 0.5000
Nd 0.3750 0.7500 0.6250
Nd 0.7500 0.8750 0.6250
Nd 0.8750 0.7500 0.1250
Nd 0.2500 0.1250 0.3750
Nd 0.3750 0.6250 0.2500
Nd 0.6250 0.3750 0.7500
Nd 0.1250 0.8750 0.7500
Nd 0.2500 0.6250 0.8750
Nd 0.1250 0.2500 0.8750
Nd 0.8750 0.1250 0.2500
Nd 0.7500 0.3750 0.1250
Nd 0.6250 0.2500 0.3750

Entry 11:
Compound: Pa5Cr3P12
Source: Alexandria via LeMat-Bulk
Functional: PBE
Structure: optimized geometry

Calculated values
Calculated total energy in eV/cell: -576.390
Space group: Ia-3d
ΔH_f (0 K) in eV/atom: -0.141
M_tot in μB per cell: 32.81

Cell lengths 13.0723, 13.0723, 13.0723 Å; angles 109.47, 109.47, 109.47 degrees
Sites, in units of the cell vectors:
Cr 0.1250 0.8750 0.7500
Cr 0.8750 0.1250 0.2500
Cr 0.8750 0.7500 0.1250
Cr 0.2500 0.6250 0.8750
Cr 0.7500 0.8750 0.6250
Cr 0.3750 0.6250 0.2500
Cr 0.1250 0.2500 0.8750
Cr 0.6250 0.3750 0.7500
Cr 0.7500 0.3750 0.1250
Cr 0.3750 0.7500 0.6250
Cr 0.6250 0.2500 0.3750
Cr 0.2500 0.1250 0.3750
P 0.1723 0.1090 0.7552
P 0.5828 0.3277 0.9367
P 0.3277 0.5828 0.4367
P 0.8910 0.0633 0.6461
P 0.3539 0.4367 0.1090
P 0.5633 0.9172 0.6723
P 0.8277 0.8910 0.2448
P 0.4367 0.0828 0.3277
P 0.1461 0.3910 0.0633
P 0.2448 0.8539 0.9172
P 0.6723 0.2552 0.6090
P 0.8539 0.2448 0.4172
P 0.6461 0.0828 0.2552
P 0.9172 0.5633 0.1723
P 0.6723 0.4172 0.5633
P 0.3910 0.1461 0.5633
P 0.3539 0.9172 0.7448
P 0.2448 0.3910 0.8277
P 0.3277 0.7448 0.3910
P 0.6461 0.5633 0.8910
P 0.4172 0.7448 0.8539
P 0.0633 0.8910 0.1461
P 0.4367 0.3539 0.6090
P 0.1090 0.9367 0.3539
P 0.0828 0.6461 0.7552
P 0.5828 0.2552 0.1461
P 0.7552 0.1461 0.0828
P 0.1090 0.1723 0.2552
P 0.2552 0.5828 0.6461
P 0.0633 0.1723 0.4172
P 0.3910 0.2448 0.3277
P 0.4172 0.6723 0.0633
P 0.8910 0.8277 0.7448
P 0.8277 0.9367 0.0828
P 0.7448 0.3277 0.8910
P 0.5633 0.6461 0.3910
P 0.7448 0.4172 0.3539
P 0.1723 0.0633 0.9172
P 0.9367 0.8277 0.5828
P 0.8539 0.6090 0.9367
P 0.9367 0.1090 0.8539
P 0.9172 0.3539 0.2448
P 0.6090 0.8539 0.4367
P 0.2552 0.6723 0.1090
P 0.0828 0.4367 0.8277
P 0.6090 0.7552 0.6723
P 0.1461 0.7552 0.5828
P 0.7552 0.6090 0.1723
Pa 0.5000 0.5000 0.5000
Pa 0.6250 0.7500 0.8750
Pa 0.6250 0.8750 0.2500
Pa 0.0000 0.0000 0.5000
Pa 0.7500 0.6250 0.3750
Pa 0.5000 0.0000 0.5000
Pa 0.1250 0.7500 0.3750
Pa 0.2500 0.8750 0.1250
Pa 0.7500 0.1250 0.8750
Pa 0.8750 0.6250 0.7500
Pa 0.3750 0.2500 0.1250
Pa 0.5000 0.0000 0.0000
Pa 0.0000 0.0000 0.0000
Pa 0.5000 0.5000 0.0000
Pa 0.3750 0.1250 0.7500
Pa 0.0000 0.5000 0.0000
Pa 0.2500 0.3750 0.6250
Pa 0.0000 0.5000 0.5000
Pa 0.1250 0.3750 0.2500
Pa 0.8750 0.2500 0.6250

Entry 12:
Compound: HfTlCr2Cd
Source: Alexandria via LeMat-Bulk
Functional: PBE
Structure: optimized geometry

Calculated values
Calculated total energy in eV/cell: -22.515
Space group: P4/mmm
ΔH_f (0 K) in eV/atom: 1.993
M_tot in μB per cell: 0.27

Cell lengths 4.7907, 4.9732, 4.7907 Å; angles 90.00, 90.00, 90.00 degrees
Sites, in units of the cell vectors:
Cd 0.0000 0.0000 0.0000
Hf 0.5000 0.5000 0.5000
Cr 0.0000 0.0000 0.5000
Cr 0.5000 0.0000 0.0000
Tl 0.0000 0.5000 0.0000